# 1
First-principles (GGA-PBE) data for an optimized crystal structure of PrY7Sc4, as listed in Alexandria via LeMat-Bulk. Values from VASP.

Final energy, eV for the cell shown: -74.1
Magnetic moment, μB per atom: 0.00
Calculated formation energy, meV/atom: 108

```
&SYSTEM
  ibrav = 0, nat = 12, ntyp = 3
/
ATOMIC_SPECIES
Sc 44.96 Sc.upf
Pr 140.91 Pr.upf
Y 88.91 Y.upf
ATOMIC_POSITIONS crystal
Sc 0.8029 0.8397 0.7079
Pr 0.0000 0.0000 0.0000
Y 0.2655 0.4785 0.0567
Y 0.6689 0.1944 0.4051
Y 0.9679 0.7001 0.3714
Sc 0.4515 0.3756 0.7171
Y 0.5000 0.0000 0.0000
Y 0.7345 0.5215 0.9433
Y 0.0321 0.2999 0.6286
Sc 0.1971 0.1603 0.2921
Y 0.3311 0.8056 0.5949
Sc 0.5485 0.6244 0.2829
CELL_PARAMETERS angstrom
0.7611 -5.4489 3.5025
3.3909 -7.8053 -1.8515
8.7454 1.8057 0.9382
```

***

# 2
First-principles (GGA-PBE) data for an optimized crystal structure of Pr3Y2Sc, as listed in Alexandria via LeMat-Bulk. Values from VASP.

Final energy, eV for the cell shown: -66.7
Energy above the most stable polymorph in this dataset, meV per atom: 0
Magnetic moment, μB per atom: 0.00
Calculated formation energy, meV/atom: 41

```
&SYSTEM
  ibrav = 0, nat = 12, ntyp = 3
/
ATOMIC_SPECIES
Pr 140.91 Pr.upf
Y 88.91 Y.upf
Sc 44.96 Sc.upf
ATOMIC_POSITIONS crystal
Pr 0.9600 0.6382 0.9218
Y 0.2060 0.8796 0.4185
Pr 0.6267 0.6262 0.2532
Pr 0.2925 0.6236 0.5819
Y 0.4500 0.1153 0.9120
Sc 0.8767 0.8796 0.7555
Pr 0.7075 0.3764 0.4181
Y 0.7940 0.1204 0.5815
Pr 0.0400 0.3618 0.0782
Sc 0.1233 0.1204 0.2445
Y 0.5500 0.8847 0.0880
Pr 0.3733 0.3738 0.7468
CELL_PARAMETERS angstrom
-5.9904 0.0500 1.7238
0.9676 -8.5582 -3.9369
2.3642 2.5828 8.0971
```